# MnSi2Cl, PBEsol geometry, DFT SCAN
# Electronic total energy: -11.262 eV/atom
# M_tot: 4.2 μB/f.u.
# ΔE_f (raw): 0.305 eV per atom
# Crystal system: orthorhombic
# Offset from the most stable computed form: 11.00 kJ/mol of atoms
data_MnSi2Cl
_cell_length_a 2.8086
_cell_length_b 4.5258
_cell_length_c 4.7834
_cell_angle_alpha 90.00
_cell_angle_beta 90.00
_cell_angle_gamma 90.00
_symmetry_space_group_name_H-M 'P m m m'
_symmetry_Int_Tables_number 47
loop_
_symmetry_equiv_pos_as_xyz
'x,y,z'
'-x,-y,-z'
'-x,-y,z'
'x,y,-z'
'x,-y,-z'
'-x,y,z'
'-x,y,-z'
'x,-y,z'
loop_
_atom_site_label
_atom_site_type_symbol
_atom_site_fract_x
_atom_site_fract_y
_atom_site_fract_z
Mn1 Mn 0.0000 0.0000 0.0000
Si1 Si 0.0000 0.5000 0.5000
Si2 Si 0.5000 0.0000 0.5000
Cl1 Cl 0.5000 0.5000 0.0000

***

# MnCd2Se, PBEsol geometry, DFT SCAN
# Electronic total energy: -24.903 eV/atom
# M_tot: 4.6 μB/f.u.
# ΔE_f (raw): -0.113 eV per atom
# Crystal system: tetragonal
data_MnCd2Se
_cell_length_a 3.8357
_cell_length_b 3.8357
_cell_length_c 10.9498
_cell_angle_alpha 90.00
_cell_angle_beta 90.00
_cell_angle_gamma 90.00
_symmetry_space_group_name_H-M 'I 4/m m m'
_symmetry_Int_Tables_number 139
_symmetry_space_group_name_Hall '-I 4 2'
loop_
_atom_site_label
_atom_site_type_symbol
_atom_site_fract_x
_atom_site_fract_y
_atom_site_fract_z
Mn1 Mn 0.0000 0.0000 0.0000
Cd1 Cd 0.0000 0.5000 0.2500
Se1 Se 0.0000 0.0000 0.5000

***

# LaMg2Sn2, PBEsol geometry, DFT SCAN
# Electronic total energy: -25.546 eV/atom
# M_tot: 0.0 μB/f.u.
# Crystal system: tetragonal
# Formation energy: -0.567 eV/atom
data_LaMg2Sn2
_cell_length_a 4.5093
_cell_length_b 4.5093
_cell_length_c 12.7872
_cell_angle_alpha 90.00
_cell_angle_beta 90.00
_cell_angle_gamma 90.00
_symmetry_space_group_name_H-M 'I 4/m m m'
_symmetry_Int_Tables_number 139
_symmetry_space_group_name_Hall '-I 4 2'
loop_
_atom_site_label
_atom_site_type_symbol
_atom_site_fract_x
_atom_site_fract_y
_atom_site_fract_z
La1 La 0.0000 0.0000 0.0000
Mg1 Mg 0.0000 0.5000 0.2500
Sn1 Sn 0.0000 0.0000 0.3896

***

# Ba4ScTi4BiO15, PBEsol geometry, DFT SCAN
# Electronic total energy: -19.506 eV/atom
# M_tot: 0.0 μB/f.u.
# ΔE_f (raw): -3.162 eV per atom
# Crystal system: orthorhombic
data_Ba4ScTi4BiO15
_cell_length_a 5.6701
_cell_length_b 28.1264
_cell_length_c 3.9910
_cell_angle_alpha 90.00
_cell_angle_beta 90.00
_cell_angle_gamma 90.00
_symmetry_space_group_name_H-M 'C m m m'
_symmetry_Int_Tables_number 65
_symmetry_space_group_name_Hall '-C 2 2'
loop_
_atom_site_label
_atom_site_type_symbol
_atom_site_fract_x
_atom_site_fract_y
_atom_site_fract_z
Ba1 Ba 0.0000 0.0999 0.0000
Ba2 Ba 0.0000 0.3000 0.0000
Sc1 Sc 0.0000 0.0000 0.5000
Ti1 Ti 0.0000 0.2000 0.5000
Ti2 Ti 0.0000 0.4003 0.5000
Bi1 Bi 0.0000 0.5000 0.0000
O1 O 0.0000 0.0000 0.0000
O2 O 0.0000 0.2001 0.0000
O3 O 0.0000 0.4020 0.0000
O4 O 0.2295 0.4502 0.5000
O5 O 0.2477 0.1499 0.5000
O6 O 0.2500 0.2500 0.5000

***

# La3Cd2, PBEsol geometry, DFT SCAN
# Electronic total energy: -38.302 eV/atom
# M_tot: 0.0 μB/f.u.
# Crystal system: orthorhombic
# Offset from the most stable computed form: 0.00 kJ/mol of atoms
# Formation energy: -0.274 eV/atom
data_La3Cd2
_cell_length_a 11.4961
_cell_length_b 16.1943
_cell_length_c 6.2342
_cell_angle_alpha 90.00
_cell_angle_beta 90.00
_cell_angle_gamma 90.00
_symmetry_space_group_name_H-M 'F d d 2'
_symmetry_Int_Tables_number 43
_symmetry_space_group_name_Hall 'F 2 -2d'
loop_
_atom_site_label
_atom_site_type_symbol
_atom_site_fract_x
_atom_site_fract_y
_atom_site_fract_z
La1 La 0.0000 0.0000 0.0000
La2 La 0.0434 0.4027 0.9882
Cd1 Cd 0.0195 0.2963 0.5331

***

# P4RhSe, PBEsol geometry, DFT SCAN
# Electronic total energy: -14.916 eV/atom
# M_tot: 0.0 μB/f.u.
# ΔE_f (raw): 0.991 eV per atom
# Crystal system: cubic
data_P4RhSe
_cell_length_a 7.0903
_cell_length_b 7.0903
_cell_length_c 7.0903
_cell_angle_alpha 90.00
_cell_angle_beta 90.00
_cell_angle_gamma 90.00
_symmetry_space_group_name_H-M 'F -4 3 m'
_symmetry_Int_Tables_number 216
_symmetry_space_group_name_Hall 'F -4 2 3'
loop_
_atom_site_label
_atom_site_type_symbol
_atom_site_fract_x
_atom_site_fract_y
_atom_site_fract_z
P1 P 0.1244 0.1244 0.1244
Rh1 Rh 0.0000 0.0000 0.5000
Se1 Se 0.2500 0.2500 0.7500

***

# BaBe2Cr, PBEsol geometry, DFT SCAN
# Electronic total energy: -16.381 eV/atom
# M_tot: 3.6 μB/f.u.
# Crystal system: trigonal
# Offset from the most stable computed form: 0.00 kJ/mol of atoms
# Formation energy: 0.280 eV/atom
data_BaBe2Cr
_cell_length_a 4.0551
_cell_length_b 4.0551
_cell_length_c 17.2410
_cell_angle_alpha 90.00
_cell_angle_beta 90.00
_cell_angle_gamma 120.00
_symmetry_space_group_name_H-M 'R -3 m'
_symmetry_Int_Tables_number 166
_symmetry_space_group_name_Hall '-R 3 2"'
loop_
_atom_site_label
_atom_site_type_symbol
_atom_site_fract_x
_atom_site_fract_y
_atom_site_fract_z
Ba1 Ba 0.0000 0.0000 0.0000
Be1 Be 0.0000 0.0000 0.1791
Cr1 Cr 0.0000 0.0000 0.5000

***

# SrCrCu, PBEsol geometry, DFT SCAN
# Electronic total energy: -17.936 eV/atom
# M_tot: 4.9 μB/f.u.
# Crystal system: cubic
# Offset from the most stable computed form: 37.93 kJ/mol of atoms
# Formation energy: 0.683 eV/atom
data_SrCrCu
_cell_length_a 6.7140
_cell_length_b 6.7140
_cell_length_c 6.7140
_cell_angle_alpha 90.00
_cell_angle_beta 90.00
_cell_angle_gamma 90.00
_symmetry_space_group_name_H-M 'F -4 3 m'
_symmetry_Int_Tables_number 216
_symmetry_space_group_name_Hall 'F -4 2 3'
loop_
_atom_site_label
_atom_site_type_symbol
_atom_site_fract_x
_atom_site_fract_y
_atom_site_fract_z
Sr1 Sr 0.0000 0.0000 0.0000
Cr1 Cr 0.2500 0.2500 0.2500
Cu1 Cu 0.0000 0.0000 0.5000

***

# RbLuS2O8, PBEsol geometry, DFT SCAN
# Electronic total energy: -14.472 eV/atom
# M_tot: 0.0 μB/f.u.
# ΔE_f (raw): -2.373 eV per atom
# Crystal system: monoclinic
data_RbLuS2O8
_cell_length_a 8.7444
_cell_length_b 5.0436
_cell_length_c 7.5329
_cell_angle_alpha 90.00
_cell_angle_beta 95.31
_cell_angle_gamma 90.00
_symmetry_space_group_name_H-M 'P 1 2/c 1'
_symmetry_Int_Tables_number 13
loop_
_symmetry_equiv_pos_as_xyz
'x,y,z'
'-x,-y,-z'
'-x,y,-z+1/2'
'x,-y,z+1/2'
loop_
_atom_site_label
_atom_site_type_symbol
_atom_site_fract_x
_atom_site_fract_y
_atom_site_fract_z
Rb1 Rb 0.0000 0.1861 0.2500
Lu1 Lu 0.5000 0.0998 0.2500
S1 S 0.2868 0.3236 0.8442
O1 O 0.1429 0.3185 0.9253
O2 O 0.2832 0.1501 0.6834
O3 O 0.3278 0.4011 0.2982
O4 O 0.4201 0.2056 0.9621

***

# Cs2SrZnCl, PBEsol geometry, DFT SCAN
# Electronic total energy: -24.163 eV/atom
# M_tot: 0.0 μB/f.u.
# ΔE_f (raw): -0.285 eV per atom
# Crystal system: tetragonal
data_Cs2SrZnCl
_cell_length_a 8.4949
_cell_length_b 8.4949
_cell_length_c 5.4397
_cell_angle_alpha 90.00
_cell_angle_beta 90.00
_cell_angle_gamma 90.00
_symmetry_space_group_name_H-M 'P 4/m m m'
_symmetry_Int_Tables_number 123
_symmetry_space_group_name_Hall '-P 4 2'
loop_
_atom_site_label
_atom_site_type_symbol
_atom_site_fract_x
_atom_site_fract_y
_atom_site_fract_z
Cs1 Cs 0.0000 0.5000 0.0000
Sr1 Sr 0.0000 0.0000 0.0000
Zn1 Zn 0.5000 0.5000 0.5000
Cl1 Cl 0.0000 0.0000 0.5000

***

# CdHgO2, PBEsol geometry, DFT SCAN
# Electronic total energy: -28.114 eV/atom
# M_tot: 0.0 μB/f.u.
# ΔE_f (raw): -0.354 eV per atom
# Crystal system: trigonal
# Offset from the most stable computed form: 44.16 kJ/mol of atoms
data_CdHgO2
_cell_length_a 3.5685
_cell_length_b 3.5685
_cell_length_c 18.8988
_cell_angle_alpha 90.00
_cell_angle_beta 90.00
_cell_angle_gamma 120.00
_symmetry_space_group_name_H-M 'R -3 m'
_symmetry_Int_Tables_number 166
_symmetry_space_group_name_Hall '-R 3 2"'
loop_
_atom_site_label
_atom_site_type_symbol
_atom_site_fract_x
_atom_site_fract_y
_atom_site_fract_z
Cd1 Cd 0.0000 0.0000 0.0000
Hg1 Hg 0.0000 0.0000 0.5000
O1 O 0.0000 0.0000 0.1052

***

# Na2Cd2Au, PBEsol geometry, DFT SCAN
# Electronic total energy: -27.878 eV/atom
# M_tot: 0.0 μB/f.u.
# Crystal system: tetragonal
# Formation energy: -0.195 eV/atom
data_Na2Cd2Au
_cell_length_a 7.0828
_cell_length_b 7.0828
_cell_length_c 4.8704
_cell_angle_alpha 90.00
_cell_angle_beta 90.00
_cell_angle_gamma 90.00
_symmetry_space_group_name_H-M 'P 4/m b m'
_symmetry_Int_Tables_number 127
_symmetry_space_group_name_Hall '-P 4 2ab'
loop_
_atom_site_label
_atom_site_type_symbol
_atom_site_fract_x
_atom_site_fract_y
_atom_site_fract_z
Na1 Na 0.1749 0.3251 0.0000
Cd1 Cd 0.1402 0.6402 0.5000
Au1 Au 0.0000 0.0000 0.5000